# 1
CsMgInCl6 GGA-PBE optimized geometry; uncorrected energy = -0.250 Ry/atom; space-group type = P312; magnetic moment = 0.000 μB per atom; formation energy (no corrections) = -1.59 eV per atom
1.0
6.639 0.000 0.000
-3.319 5.749 0.000
0.000 0.000 7.877
Cs Mg In Cl
1 1 1 6
direct
0.000 0.000 0.000
0.333 0.667 0.500
0.667 0.333 0.500
0.003 0.377 0.685
0.003 0.626 0.315
0.374 0.377 0.315
0.374 0.997 0.685
0.623 0.626 0.685
0.623 0.997 0.315

---

# 2
CsMg2InCl6 GGA-PBE optimized geometry; uncorrected energy = -0.252 Ry/atom; space-group type = C2/c; magnetic moment = 0.000 μB per atom; formation energy (no corrections) = -1.64 eV per atom
1.0
7.149 -7.380 0.000
7.149 7.380 0.000
-0.588 0.000 6.805
Cs Mg In Cl
2 4 2 12
direct
0.105 0.895 0.750
0.895 0.105 0.250
0.203 0.369 0.727
0.369 0.203 0.227
0.631 0.797 0.773
0.797 0.631 0.273
0.298 0.702 0.250
0.702 0.298 0.750
0.019 0.228 0.722
0.174 0.578 0.854
0.228 0.019 0.222
0.270 0.384 0.396
0.384 0.270 0.896
0.422 0.826 0.646
0.578 0.174 0.354
0.616 0.730 0.104
0.730 0.616 0.604
0.772 0.981 0.778
0.826 0.422 0.146
0.981 0.772 0.278

---

# 3
Cs4Mn3InCl12 GGA-PBE optimized geometry; uncorrected energy = -0.312 Ry/atom; space-group type = Im-3m; magnetic moment = 0.703 μB per atom; formation energy (no corrections) = -1.45 eV per atom
1.0
-5.236 5.236 5.236
5.236 -5.236 5.236
5.236 5.236 -5.236
Cs Mn In Cl
4 3 1 12
direct
0.000 0.000 0.500
0.000 0.500 0.000
0.500 0.000 0.000
0.500 0.500 0.500
0.000 0.500 0.500
0.500 0.000 0.500
0.500 0.500 0.000
0.000 0.000 0.000
0.000 0.265 0.265
0.000 0.735 0.735
0.250 0.500 0.750
0.250 0.750 0.500
0.265 0.000 0.265
0.265 0.265 0.000
0.500 0.250 0.750
0.500 0.750 0.250
0.735 0.000 0.735
0.735 0.735 0.000
0.750 0.250 0.500
0.750 0.500 0.250